Entry from the Alexandria database: a geometry-optimized InCuSe2 structure (PBE).

a b c (Å): 4.1373 4.1373 22.2856
angles (deg): 90.00 90.00 120.00
Space group R-3m (No. 166, hexagonal axes)
Unique sites:
In 0.0000 0.0000 0.0000 x3
Cu 0.0000 0.0000 0.5000 x3
Se 0.0000 0.0000 0.3984 x6

Volume (Å³ per cell): 330
Energy relative to the elements, uncorrected (eV/atom): -0.284